Entry from Alexandria: an optimized crystal structure of BiOsS3 (PBE).

Properties
Offset from the most stable computed form, meV/atom: 0
Space group: No. 221
Density, g/cm3: 8.13

a = 4.660 Å, b = 4.660 Å, c = 4.660 Å
α = 90.00°, β = 90.00°, γ = 90.00°
Element x y z (fractional)
Bi (0.000, 0.000, 0.000)
Os (0.500, 0.500, 0.500)
S (0.000, 0.500, 0.500)
S (0.500, 0.000, 0.500)
S (0.500, 0.500, 0.000)

---

Entry from Alexandria: an optimized crystal structure of Th3BiOsS (PBE).

Properties
E, eV/f.u.: -46.0
Space group: No. 11
Density, g/cm3: 11.23

a = 7.797 Å, b = 4.537 Å, c = 9.982 Å
α = 90.00°, β = 109.21°, γ = 90.00°
Element x y z (fractional)
Th (0.015, 0.250, 0.353)
Th (0.245, 0.250, 0.961)
Th (0.427, 0.750, 0.602)
Th (0.573, 0.250, 0.398)
Th (0.755, 0.750, 0.039)
Th (0.985, 0.750, 0.647)
Bi (0.231, 0.750, 0.209)
Bi (0.769, 0.250, 0.791)
Os (0.226, 0.250, 0.637)
Os (0.774, 0.750, 0.363)
S (0.380, 0.750, 0.871)
S (0.620, 0.250, 0.129)

---

Entry from Alexandria: an optimized crystal structure of YBiOsS2 (PBE).

Properties
E, eV/f.u.: -29.9
Space group: No. 123
Density, g/cm3: 7.63

a = 4.545 Å, b = 4.545 Å, c = 5.815 Å
α = 90.00°, β = 90.00°, γ = 90.00°
Element x y z (fractional)
Y (0.000, 0.000, 0.000)
Bi (0.500, 0.500, 0.000)
Os (0.000, 0.000, 0.500)
S (0.000, 0.500, 0.500)
S (0.500, 0.000, 0.500)

---

Entry from Alexandria: an optimized crystal structure of BiSb3Os (PBE).

Properties
Offset from the most stable computed form, meV/atom: 1581
Space group: No. 221
Density, g/cm3: 6.78

a = 5.722 Å, b = 5.722 Å, c = 5.722 Å
α = 90.00°, β = 90.00°, γ = 90.00°
Element x y z (fractional)
Bi (0.000, 0.000, 0.000)
Sb (0.000, 0.000, 0.500)
Sb (0.000, 0.500, 0.000)
Sb (0.500, 0.000, 0.000)
Os (0.500, 0.500, 0.500)

---

Entry from Alexandria: an optimized crystal structure of Bi3SbOs (PBE).

Properties
Offset from the most stable computed form, meV/atom: 0
Space group: No. 221
Density, g/cm3: 10.26

a = 5.336 Å, b = 5.336 Å, c = 5.336 Å
α = 90.00°, β = 90.00°, γ = 90.00°
Element x y z (fractional)
Bi (0.000, 0.000, 0.500)
Bi (0.000, 0.500, 0.000)
Bi (0.500, 0.000, 0.000)
Sb (0.500, 0.500, 0.500)
Os (0.000, 0.000, 0.000)

---

Entry from Alexandria: an optimized crystal structure of BiSbOs2 (PBE).

Properties
Offset from the most stable computed form, meV/atom: 0
Space group: No. 225
Density, g/cm3: 15.70

a = 4.738 Å, b = 4.738 Å, c = 4.738 Å
α = 60.00°, β = 60.00°, γ = 60.00°
Element x y z (fractional)
Bi (0.000, 0.000, 0.000)
Sb (0.500, 0.500, 0.500)
Os (0.250, 0.250, 0.250)
Os (0.750, 0.750, 0.750)